[1]
DFT (PBE with a Hubbard U) results for a relaxed structure of VS3F.

Crystal system: cubic

a = 4.409 Å, b = 4.409 Å, c = 4.409 Å
α = 90.00°, β = 90.00°, γ = 90.00°
Space group Pm-3m (No. 221)
One atom of each set of equivalent atoms:
V  0.000  0.000  0.000 (multiplicity 1)
S  0.000  0.500  0.500 (multiplicity 3)
F  0.500  0.500  0.500 (multiplicity 1)

[2]
DFT (PBE with a Hubbard U) results for a relaxed structure of V2SF.

Crystal system: trigonal

a = 3.5431 Å, b = 3.5431 Å, c = 20.5762 Å
α = 90.00°, β = 90.00°, γ = 120.00°
Space group R-3m (No. 166, hexagonal axes)
One atom of each set of equivalent atoms:
V  0.0000  0.0000  0.0974 (multiplicity 6)
S  0.0000  0.0000  0.5000 (multiplicity 3)
F  0.0000  0.0000  0.0000 (multiplicity 3)

[3]
DFT (PBE with a Hubbard U) results for a relaxed structure of VS3F.

Crystal system: cubic

a = 4.528 Å, b = 4.528 Å, c = 4.528 Å
α = 90.00°, β = 90.00°, γ = 90.00°
Space group Pm-3m (No. 221)
One atom of each set of equivalent atoms:
V  0.000  0.000  0.000 (multiplicity 1)
S  0.000  0.000  0.500 (multiplicity 3)
F  0.500  0.500  0.500 (multiplicity 1)

[4]
DFT (PBE with a Hubbard U) results for a relaxed structure of V2SF.

Crystal system: tetragonal

a = 6.398 Å, b = 6.398 Å, c = 6.382 Å
α = 90.00°, β = 90.00°, γ = 90.00°
Space group I-42d (No. 122)
One atom of each set of equivalent atoms:
V  0.221  0.250  0.125 (multiplicity 8)
S  0.000  0.000  0.500 (multiplicity 4)
F  0.000  0.000  0.000 (multiplicity 4)

Quick rundown of total DFT energy (no corrections), same order as above: -3.581 -5.835 -4.183 -5.881 eV/atom